A plane-wave DFT calculation with GGA-PBEsol was carried out for an optimized crystal structure of LiP.

Properties
volume	242	Å³/cell
symmetry	P2_1/c, No. 14
polymorph energy (0 for the lowest one)	0	meV per atom
ΔE_f	-532	meV per atom
energy	-4.41	eV per atom

Cell: 4.9201 5.5325 8.9390 Å, 85.21 90.00 90.00°
Closest atoms and distances in Å follow each position.
Fractional coordinates of all 16 atoms:
1 P 0.6053 0.4774 0.2063  2 P 2.21-2.22
2 Li 0.1574 0.6955 0.5295  6 P 2.55-2.74, 1 Li 2.75
3 Li 0.8426 0.3045 0.4705  6 P 2.55-2.74, 1 Li 2.75
4 Li 0.8893 0.3890 0.8281  6 P 2.55-2.76
5 P 0.6549 0.6903 0.6100  2 P 2.21-2.22
6 P 0.1053 0.0226 0.2937  2 P 2.21-2.22
7 P 0.8451 0.1903 0.1100  2 P 2.21-2.22
8 P 0.1549 0.8097 0.8900  2 P 2.21-2.22
9 Li 0.6574 0.8045 0.9705  6 P 2.55-2.74, 1 Li 2.75
10 P 0.3947 0.5226 0.7937  2 P 2.21-2.22
11 Li 0.1107 0.6110 0.1719  6 P 2.55-2.76
12 Li 0.6107 0.8890 0.3281  6 P 2.55-2.76
13 P 0.3451 0.3097 0.3900  2 P 2.21-2.22
14 Li 0.3893 0.1110 0.6719  6 P 2.55-2.76
15 Li 0.3426 0.1955 0.0295  6 P 2.55-2.74, 1 Li 2.75
16 P 0.8947 0.9774 0.7063  2 P 2.21-2.22